The following is a PBE with a Hubbard U calculation of a geometry-optimized Li2CoSnP2O8 structure, from Alexandria via LeMat-Bulk.

Summary:
- Excess energy over the best structure of this formula in the dataset: 0 meV per atom
- Theoretical density: 3.6 g/cm³
- Size of the total moment: 0.213 μB/atom

Unit cell a=4.8324 b=6.2055 c=23.6945 alpha=90.00 beta=92.51 gamma=90.00
Space group P2_1/c (No. 14)
Asymmetric unit:
Li 0.0000 0.0000 0.0000
Li 0.0000 0.0000 0.5000
Li 0.3791 0.0620 0.2774
Co 0.4168 0.2486 0.9020
Sn 0.0439 0.2490 0.1341
P 0.1838 0.7461 0.6788
P 0.4092 0.7479 0.9614
O 0.1333 0.2272 0.3286
O 0.2606 0.5522 0.4317
O 0.2628 0.5451 0.9331
O 0.2735 0.2459 0.5457
O 0.2870 0.5641 0.6382
O 0.2892 0.7078 0.7398
O 0.3204 0.7481 0.5233
O 0.3409 0.5498 0.1556